Here is a relaxed structure of KTl2Hg2Au2 from Alexandria. Energies are from GGA-PBE.

```
7
Lattice="-2.5032 -3.9809 -1.4843 1.4307 -4.4924 1.4448 -6.0401 -2.1413 7.7380" Properties=species:S:1:pos:R:3 pbc="T T T"
Tl -3.7911 -2.4117 4.6703
Au -4.9648 -5.1380 5.7705
K 0.0000 0.0000 0.0000
Hg -1.6420 -2.6700 1.7389
Tl -3.3215 -8.2030 3.0282
Hg -5.4706 -7.9446 5.9596
Au -2.1478 -5.4766 1.9281
```

Calculated values
Spin magnetization ... 0.00 μB/f.u.
ΔH_f (0 K) ... -0.114 eV/atom
Total DFT energy (no corrections) ... -0.072 hartree per atom
N(E_F) ... 1.7 states/eV/cell
ρ ... 10.2 g/cm³